Entry 1:
Pm2Pa2Rh15 | PBE-GGA | relaxed

Electronic total energy in eV/f.u.: -146.61
V in Å³ per atom: 17.30

Cell lengths 6.965, 6.965, 6.965 Å; angles 81.98, 81.98, 81.98 degrees
Atoms (fractional coordinates):
Rh 0.657 0.657 0.157
Rh 0.692 0.000 0.308
Rh 0.657 0.157 0.657
Rh 0.500 0.000 0.000
Rh 0.692 0.308 0.000
Rh 0.000 0.000 0.500
Rh 0.843 0.343 0.343
Rh 0.308 0.000 0.692
Rh 0.000 0.308 0.692
Rh 0.308 0.692 0.000
Rh 0.157 0.657 0.657
Rh 0.343 0.343 0.843
Rh 0.000 0.500 0.000
Rh 0.000 0.692 0.308
Rh 0.343 0.843 0.343
Pa 0.108 0.108 0.108
Pa 0.892 0.892 0.892
Pm 0.361 0.361 0.361
Pm 0.639 0.639 0.639

***

Entry 2:
LiSmPuPt | PBE-GGA | relaxed

Electronic total energy in eV/f.u.: -28.67
V in Å³ per atom: 22.49

Cell lengths 5.029, 5.029, 5.029 Å; angles 60.00, 60.00, 60.00 degrees
Atoms (fractional coordinates):
Li 0.250 0.250 0.250
Sm 0.500 0.500 0.500
Pt 0.750 0.750 0.750
Pu 0.000 0.000 0.000

***

Entry 3:
GaSiC2 | PBE-GGA | relaxed

Electronic total energy in eV/f.u.: -19.12
E above lowest polymorph in eV per atom: 1.552
V in Å³ per atom: 10.28
ΔE_f (raw) in eV/atom: 1.95

Cell lengths 3.874, 3.874, 3.874 Å; angles 60.00, 60.00, 60.00 degrees
Atoms (fractional coordinates):
Ga 0.500 0.500 0.500
C 0.750 0.750 0.750
C 0.250 0.250 0.250
Si 0.000 0.000 0.000

***

Entry 4:
ReTe4Os | PBE-GGA | relaxed

Electronic total energy in eV/f.u.: -23.41
V in Å³ per atom: 25.80
ΔE_f (raw) in eV/atom: 2.14

Cell lengths 6.027, 6.027, 6.027 Å; angles 60.00, 60.00, 60.00 degrees
Atoms (fractional coordinates):
Os 0.750 0.750 0.750
Re 0.000 0.000 0.000
Te 0.875 0.375 0.375
Te 0.375 0.375 0.875
Te 0.375 0.875 0.375
Te 0.375 0.375 0.375

***

Entry 5:
Ce4AlOs2 | PBE-GGA | relaxed

Electronic total energy in eV/f.u.: -51.38
V in Å³ per atom: 23.93

Cell lengths 6.758, 6.862, 8.586 Å; angles 107.52, 109.91, 101.95 degrees
Atoms (fractional coordinates):
Os 0.383 0.908 0.067
Os 0.644 0.584 0.442
Os 0.134 0.273 0.570
Os 0.814 0.312 0.930
Ce 0.979 0.577 0.744
Ce 0.791 0.251 0.240
Ce 0.351 0.083 0.795
Ce 0.574 0.652 0.859
Ce 0.369 0.175 0.396
Ce 0.750 0.998 0.607
Ce 0.880 0.752 0.230
Ce 0.294 0.530 0.130
Al 0.270 0.623 0.492
Al 0.019 0.033 0.999

***

Entry 6:
PmHo6Er | PBE-GGA | relaxed

Electronic total energy in eV/f.u.: -35.55
E above lowest polymorph in eV per atom: 0.000
V in Å³ per atom: 32.31

Cell lengths 8.543, 9.573, 6.416 Å; angles 41.75, 48.25, 55.91 degrees
Atoms (fractional coordinates):
Ho 0.748 0.954 0.751
Ho 0.954 0.454 0.844
Ho 0.547 0.748 0.660
Ho 0.453 0.252 0.340
Ho 0.252 0.046 0.249
Ho 0.046 0.546 0.156
Pm 0.000 0.000 0.000
Er 0.500 0.500 0.500

***

Entry 7:
Ba2Ca3Ag4 | PBE-GGA | relaxed

Electronic total energy in eV/f.u.: -23.89
V in Å³ per atom: 32.27

Cell lengths 8.411, 8.554, 8.551 Å; angles 90.00, 90.00, 109.24 degrees
Atoms (fractional coordinates):
Ag 0.624 0.498 0.622
Ag 0.876 0.502 0.122
Ag 0.124 0.498 0.878
Ag 0.375 0.084 0.959
Ag 0.625 0.916 0.041
Ag 0.875 0.084 0.541
Ag 0.125 0.916 0.459
Ag 0.376 0.502 0.378
Ca 0.249 0.251 0.671
Ca 0.251 0.749 0.171
Ca 0.751 0.749 0.329
Ca 0.000 0.500 0.500
Ca 0.500 0.500 0.000
Ca 0.749 0.251 0.829
Ba 0.432 0.807 0.672
Ba 0.568 0.193 0.328
Ba 0.932 0.807 0.828
Ba 0.068 0.193 0.172

***

Entry 8:
CaSi2Mo2 | PBE-GGA | relaxed

Electronic total energy in eV/f.u.: -34.57
E above lowest polymorph in eV per atom: 0.162
V in Å³ per atom: 19.16
ΔE_f (raw) in eV/atom: -0.01

Cell lengths 4.669, 4.669, 5.496 Å; angles 64.87, 64.87, 90.00 degrees
Atoms (fractional coordinates):
Ca 0.000 0.000 0.000
Si 0.250 0.750 0.500
Si 0.750 0.250 0.500
Mo 0.630 0.630 0.740
Mo 0.370 0.370 0.260